Below is ZnB3H3O7 at its PBEsol-relaxed geometry, with properties calculated at the SCAN level.

- magnetic moment (μB per formula unit) = 0.0
- crystal system = monoclinic
- total DFT energy (no corrections) (eV per atom) = -8.42
- mass density (g/cm3) = 2.931
- space group = P2_1/c, No. 14

Lattice parameters (Å, degrees): 6.830 7.598 9.712 90.00 90.00 106.82
Fractional positions:
B 0.395 0.286 0.660
B 0.750 0.513 0.670
B 0.605 0.714 0.340
B 0.105 0.214 0.160
B 0.675 0.248 0.504
B 0.750 0.987 0.170
B 0.250 0.487 0.330
B 0.825 0.252 0.004
B 0.175 0.748 0.996
B 0.325 0.752 0.496
B 0.250 0.013 0.830
B 0.895 0.786 0.840
H 0.679 0.905 0.925
H 0.169 0.465 0.976
H 0.669 0.965 0.524
H 0.179 0.405 0.575
H 0.863 0.291 0.333
H 0.137 0.709 0.667
H 0.331 0.035 0.476
H 0.821 0.595 0.425
H 0.321 0.095 0.075
H 0.637 0.209 0.833
H 0.831 0.535 0.024
H 0.363 0.791 0.167
O 0.540 0.772 0.470
O 0.788 0.242 0.853
O 0.893 0.659 0.726
O 0.545 0.466 0.706
O 0.745 0.094 0.558
O 0.040 0.272 0.030
O 0.607 0.841 0.226
O 0.255 0.906 0.442
O 0.460 0.228 0.530
O 0.307 0.180 0.149
O 0.755 0.406 0.058
O 0.309 0.917 0.933
O 0.393 0.159 0.774
O 0.691 0.083 0.067
O 0.193 0.320 0.649
O 0.107 0.341 0.274
O 0.455 0.534 0.294
O 0.712 0.258 0.353
O 0.245 0.594 0.942
O 0.960 0.728 0.970
O 0.955 0.034 0.206
O 0.212 0.758 0.147
O 0.288 0.742 0.647
O 0.809 0.417 0.567
O 0.693 0.820 0.851
O 0.807 0.680 0.351
O 0.045 0.966 0.794
O 0.191 0.583 0.433
Zn 0.568 0.350 0.209
Zn 0.932 0.150 0.709
Zn 0.432 0.650 0.791
Zn 0.068 0.850 0.291

---

Below is Zn8B3H3O14 at its PBEsol-relaxed geometry, with properties calculated at the SCAN level.

- magnetic moment (μB per formula unit) = 0.0
- crystal system = trigonal
- total DFT energy (no corrections) (eV per atom) = -9.93
- mass density (g/cm3) = 3.862
- space group = R32, No. 155

Lattice parameters (Å, degrees): 7.512 7.512 7.512 65.66 65.66 65.66
Fractional positions:
O 0.182 0.542 0.609
O 0.032 0.500 0.968
O 0.742 0.258 0.000
O 0.968 0.032 0.500
O 0.818 0.391 0.458
O 0.258 0.000 0.742
O 0.542 0.609 0.182
O 0.000 0.742 0.258
O 0.500 0.968 0.032
O 0.609 0.182 0.542
O 0.296 0.296 0.296
O 0.458 0.818 0.391
O 0.704 0.704 0.704
O 0.391 0.458 0.818
H 0.139 0.000 0.861
H 0.861 0.139 0.000
H 0.000 0.861 0.139
Zn 0.518 0.956 0.770
Zn 0.044 0.482 0.230
Zn 0.408 0.408 0.408
Zn 0.770 0.518 0.956
Zn 0.482 0.230 0.044
Zn 0.592 0.592 0.592
Zn 0.956 0.770 0.518
Zn 0.230 0.044 0.482
B 0.202 0.500 0.798
B 0.500 0.798 0.202
B 0.798 0.202 0.500

---

Below is BPHS2 at its PBEsol-relaxed geometry, with properties calculated at the SCAN level.

- magnetic moment (μB per formula unit) = 0.8
- crystal system = tetragonal
- total DFT energy (no corrections) (eV per atom) = -6.78
- mass density (g/cm3) = 2.613
- space group = P4/mmm, No. 123

Lattice parameters (Å, degrees): 3.897 4.176 4.176 90.00 90.00 90.00
Site moments in Bohr magnetons follow the coordinates.
Fractional positions:
S 0.000 0.000 0.500  0.04
S 0.000 0.500 0.000  0.04
H 0.500 0.500 0.500  0.31
B 0.000 0.000 0.000  -0.01
P 0.500 0.000 0.000  0.01

---

Below is Tc2BPH at its PBEsol-relaxed geometry, with properties calculated at the SCAN level.

- magnetic moment (μB per formula unit) = 0.0
- crystal system = tetragonal
- total DFT energy (no corrections) (eV per atom) = -17.38
- mass density (g/cm3) = 7.057
- space group = P4/mmm, No. 123

Lattice parameters (Å, degrees): 2.910 4.394 4.394 90.00 90.00 90.00
Fractional positions:
B 0.500 0.500 0.500
Tc 0.000 0.000 0.500
Tc 0.000 0.500 0.000
H 0.500 0.000 0.000
P 0.000 0.000 0.000